The following is a DFT calculation (PBE) of a relaxed YErGa2 crystal.

Cell lengths 6.872, 6.872, 6.617 Å; angles 90.00, 90.00, 143.02 degrees
Sites, in units of the cell vectors:
Ga: 0.400 0.600 0.054
Ga: 0.600 0.400 0.554
Ga: 0.600 0.400 0.946
Ga: 0.400 0.600 0.446
Er: 0.778 0.222 0.250
Er: 0.222 0.778 0.750
Y: 0.946 0.054 0.750
Y: 0.054 0.946 0.250

volume = 188.0 Å³/cell
symmetry = Cmcm
density = 6.99 g/cm3
polymorph energy (0 for the lowest one) = 0.004 eV/atom